# PBE-GGA Ca4SbO, optimized geometry
# * raw formation energy: -1.16 eV/atom
# * DFT total energy: -48.044 eV per cell
# * magnetization: 2.32 μB/cell
# * theoretical density: 2.989 g/cm3
data_Ca4SbO
_space_group_name_H-M_alt 'P -1'
_space_group_IT_number 2
_cell_length_a 6.350
_cell_length_b 7.618
_cell_length_c 7.759
_cell_angle_alpha 103.44
_cell_angle_beta 114.12
_cell_angle_gamma 90.03
loop_
_space_group_symop_operation_xyz
'x,y,z'
'-x,-y,-z'
loop_
_atom_site_label
_atom_site_type_symbol
_atom_site_fract_x
_atom_site_fract_y
_atom_site_fract_z
Ca1 Ca 0.003 0.447 0.205
Ca2 Ca 0.201 0.946 0.206
Ca3 Ca 0.264 0.857 0.632
Ca4 Ca 0.368 0.356 0.631
Sb1 Sb 0.339 0.250 0.001
O1 O 0.000 0.500 0.500
O2 O 0.500 0.000 0.500